{"formula": "YTi3Cd", "functional": "SCAN", "state": "single point on PBEsol structure", "lattice": [[-2.443, -0.524, 4.313], [3.514, -3.148, 1.608], [2.555, 3.829, 1.912]], "species": ["Ti", "Ti", "Ti", "Y", "Cd"], "frac_coords": [[0.500, 0.000, 0.000], [0.000, 0.500, 0.000], [0.000, 0.000, 0.500], [0.500, 0.500, 0.500], [0.000, 0.000, 0.000]], "vol_a3_per_atom": 24.765, "sg": "Pm-3m", "ef_ev_per_atom": 0.859, "dos_ef_per_ev_atom": 1.469, "final_energy_ev_per_atom": -20.411}

{"formula": "CuIr2Os", "functional": "SCAN", "state": "single point on PBEsol structure", "lattice": [[2.717, 0.000, 0.000], [0.000, 2.717, 0.000], [0.000, 0.000, 7.294]], "species": ["Ir", "Ir", "Cu", "Os"], "frac_coords": [[0.000, 0.000, 0.252], [0.000, 0.000, 0.748], [0.500, 0.500, 0.500], [0.500, 0.500, 0.000]], "vol_a3_per_atom": 13.457, "sg": "P4/mmm", "ef_ev_per_atom": 0.041, "dos_ef_per_ev_atom": 0.713, "final_energy_ev_per_atom": -57.278}

{"formula": "BeCuAs2", "functional": "SCAN", "state": "single point on PBEsol structure", "lattice": [[-1.874, 1.957, 2.183], [-2.930, -0.634, -1.947], [-0.915, -3.787, 2.610]], "species": ["As", "As", "Be", "Cu"], "frac_coords": [[0.000, 0.000, 0.000], [0.000, 0.500, 0.500], [0.500, 0.500, 0.000], [0.500, 0.000, 0.500]], "vol_a3_per_atom": 14.584, "sg": "Pmmm", "ef_ev_per_atom": 0.396, "dos_ef_per_ev_atom": 0.377, "final_energy_ev_per_atom": -14.588}

{"formula": "ScAl2Zn", "functional": "SCAN", "state": "single point on PBEsol structure", "lattice": [[-1.349, -2.587, 1.393], [-0.172, -1.460, -2.880], [5.926, -2.577, 0.952]], "species": ["Zn", "Sc", "Al", "Al"], "frac_coords": [[0.500, 0.500, 0.782], [0.000, 0.000, 0.505], [0.500, 0.500, 0.224], [0.000, 0.000, 0.989]], "vol_a3_per_atom": 17.072, "sg": "P4mm", "ef_ev_per_atom": -0.264, "dos_ef_per_ev_atom": 0.509, "final_energy_ev_per_atom": -11.078}

{"formula": "ZnReAs2", "functional": "SCAN", "state": "single point on PBEsol structure", "lattice": [[3.081, 0.000, 0.000], [0.000, 3.958, 0.000], [0.000, 0.000, 5.123]], "species": ["Zn", "Re", "As", "As"], "frac_coords": [[0.500, 0.500, 0.785], [0.000, 0.000, 0.457], [0.000, 0.000, 0.957], [0.500, 0.500, 0.301]], "vol_a3_per_atom": 15.619, "sg": "Pmm2", "ef_ev_per_atom": 0.389, "dos_ef_per_ev_atom": 0.536, "final_energy_ev_per_atom": -30.859}

{"formula": "BaNi2N2", "functional": "SCAN", "state": "single point on PBEsol structure", "lattice": [[6.077, 0.025, 0.035], [-3.008, 5.281, -0.035], [-3.008, -1.801, 4.965]], "species": ["Ba", "Ba", "N", "N", "N", "N", "Ni", "Ni", "Ni", "Ni"], "frac_coords": [[0.000, 0.250, 0.250], [0.000, 0.750, 0.750], [0.836, 0.168, 0.668], [0.500, 0.332, 0.168], [0.164, 0.832, 0.332], [0.500, 0.668, 0.832], [0.240, 0.370, 0.870], [0.760, 0.630, 0.130], [0.500, 0.870, 0.630], [0.500, 0.130, 0.370]], "vol_a3_per_atom": 16.006, "raw_formation_energy_ev_per_atom": -0.32, "sg": "I4/mcm", "dos_ef_per_ev_atom": 0.334, "final_energy_ev_per_atom": -18.418}

{"formula": "Al2PtCl", "functional": "SCAN", "state": "single point on PBEsol structure", "lattice": [[-3.249, 2.669, 0.920], [-1.042, -4.451, -0.835], [-1.070, -2.462, 3.364]], "species": ["Al", "Al", "Pt", "Cl"], "frac_coords": [[0.750, 0.500, 0.750], [0.250, 0.500, 0.250], [0.000, 0.000, 0.000], [0.500, 0.000, 0.500]], "vol_a3_per_atom": 16.262, "raw_formation_energy_ev_per_atom": -0.14, "sg": "I4/mmm", "dos_ef_per_ev_atom": 0.549, "final_energy_ev_per_atom": -23.562}

{"formula": "MnTcPb", "functional": "SCAN", "state": "single point on PBEsol structure", "lattice": [[-1.906, 2.150, 0.771], [-1.489, -1.932, 1.703], [4.943, 1.213, 3.100]], "species": ["Pb", "Tc", "Mn"], "frac_coords": [[0.665, 0.665, 0.330], [0.358, 0.358, 0.715], [0.978, 0.978, 0.955]], "vol_a3_per_atom": 16.450, "sg": "I4mm", "ef_ev_per_atom": 0.418, "dos_ef_per_ev_atom": 0.560, "final_energy_ev_per_atom": -42.614}

What did the fifth record say?
{"formula": "ZnReAs2", "functional": "SCAN", "state": "single point on PBEsol structure", "lattice": [[3.081, 0.000, 0.000], [0.000, 3.958, 0.000], [0.000, 0.000, 5.123]], "species": ["Zn", "Re", "As", "As"], "frac_coords": [[0.500, 0.500, 0.785], [0.000, 0.000, 0.457], [0.000, 0.000, 0.957], [0.500, 0.500, 0.301]], "vol_a3_per_atom": 15.619, "sg": "Pmm2", "ef_ev_per_atom": 0.389, "dos_ef_per_ev_atom": 0.536, "final_energy_ev_per_atom": -30.859}